(1)
Material: Er5TmTl4
Method: DFT, PBE
State: optimized geometry

abc: 3.5967 3.5967 21.3711
angles: 90.00 90.00 90.00
Last column: nearest neighbours and their distance in Å.
Fractional coordinates of all 10 atoms:
Er (0.5000, 0.5000, 0.1115)  4 Tl 3.28, 4 Tm 3.49, 4 Er 3.60
Er (0.5000, 0.5000, 0.3049)  8 Tl 3.27-3.29, 4 Er 3.60
Er (0.5000, 0.5000, 0.5000)  8 Tl 3.29, 4 Er 3.60
Er (0.5000, 0.5000, 0.6951)  8 Tl 3.27-3.29, 4 Er 3.60
Er (0.5000, 0.5000, 0.8885)  4 Tl 3.28, 4 Tm 3.49, 4 Er 3.60
Tm (0.0000, 0.0000, 0.0000)  8 Er 3.49, 4 Tm 3.60
Tl (0.0000, 0.0000, 0.2086)  8 Er 3.27-3.28, 4 Tl 3.60
Tl (0.0000, 0.0000, 0.4027)  8 Er 3.29, 4 Tl 3.60
Tl (0.0000, 0.0000, 0.5973)  8 Er 3.29, 4 Tl 3.60
Tl (0.0000, 0.0000, 0.7914)  8 Er 3.27-3.28, 4 Tl 3.60

## Properties
Its energy of formation from the pure elements is -0.26 eV/atom. The theoretical density is 10.9 Mg/m³.

---

(2)
Material: AcSmNbO6
Method: DFT, PBE
State: optimized geometry

abc: 5.2516 5.2516 10.6404
angles: 90.00 90.00 90.00
Last column: nearest neighbours and their distance in Å.
Fractional coordinates of all 18 atoms:
Ac (0.5000, 0.5000, 0.5000)  6 O 2.43-2.55
Ac (0.0000, 0.0000, 0.0000)  6 O 2.43-2.55
Sm (0.5000, 0.5000, 0.8352)  6 O 2.34-2.37
Sm (0.0000, 0.0000, 0.3352)  6 O 2.34-2.37
Nb (0.5000, 0.5000, 0.1656)  6 O 2.02-2.04
Nb (0.0000, 0.0000, 0.6656)  6 O 2.02-2.04
O (0.1745, 0.8255, 0.5179)  1 Nb 2.04
O (0.8255, 0.1745, 0.5179)  1 Nb 2.04
O (0.3255, 0.3255, 0.0179)  1 Nb 2.04
O (0.6745, 0.6745, 0.0179)  1 Nb 2.04
O (0.2279, 0.7721, 0.1787)  1 Nb 2.03
O (0.7721, 0.2279, 0.1787)  1 Nb 2.03
O (0.2721, 0.2721, 0.6787)  1 Nb 2.03
O (0.7279, 0.7279, 0.6787)  1 Nb 2.03
O (0.8115, 0.1885, 0.8030)  1 Nb 2.02
O (0.1885, 0.8115, 0.8030)  1 Nb 2.02
O (0.6885, 0.6885, 0.3030)  1 Nb 2.02
O (0.3115, 0.3115, 0.3030)  1 Nb 2.02

## Properties
The theoretical density is 6.4 Mg/m³. As for the uncorrected formation energy: -2.80 eV per atom.

---

(3)
Material: Nb2TcAsSe
Method: DFT, PBE
State: optimized geometry

abc: 4.7682 4.5348 4.7682
angles: 90.00 90.00 90.00
Last column: nearest neighbours and their distance in Å.
Fractional coordinates of all 5 atoms:
As (0.5000, 0.5000, 0.5000)  8 Nb 3.29, 4 Tc 3.37
Nb (0.0000, 0.0000, 0.5000)  2 Se 2.38
Nb (0.5000, 0.0000, 0.0000)  2 Se 2.38
Tc (0.0000, 0.5000, 0.0000)  2 Se 2.27
Se (0.0000, 0.0000, 0.0000)  2 Tc 2.27, 4 Nb 2.38

## Properties
The theoretical density is 7.0 Mg/m³. As for the uncorrected formation energy: 0.81 eV per atom.